First-principles (GGA-PBE) data for crystalline Pm3DyHg at its relaxed geometry, as listed in the Alexandria database.

Summary:
Distance to the lowest polymorph of the same formula (meV/atom): 0.0
Calculated formation energy (kcal/mol of atoms): -4.146

abc: 15.1198 15.1198 5.5979
angles: 90.07 90.07 14.19
Closest atoms and distances in Å follow each position.
Fractional positions:
Pm  0.0483  0.0483  0.2464  6 Hg 3.27-3.38
Pm  0.1296  0.1296  0.7489  2 Hg 3.25, 4 Pm 3.49-3.50, 2 Dy 3.64
Pm  0.3387  0.3387  0.7504  8 Pm 3.49-3.87, 4 Dy 3.54-3.67
Pm  0.6613  0.6613  0.2496  8 Pm 3.49-3.87, 4 Dy 3.54-3.67
Pm  0.8704  0.8704  0.2511  2 Hg 3.25, 4 Pm 3.49-3.50, 2 Dy 3.64
Pm  0.9516  0.9516  0.7536  6 Hg 3.27-3.38
Dy  0.2665  0.2665  0.2502  6 Dy 3.51-3.74, 6 Pm 3.54-3.67
Dy  0.7335  0.7335  0.7498  6 Dy 3.51-3.74, 6 Pm 3.54-3.67
Hg  0.4590  0.4590  0.2552  8 Pm 3.25-3.38
Hg  0.5410  0.5410  0.7448  8 Pm 3.25-3.38

---

First-principles (GGA-PBE) data for crystalline La2CeGeN5 at its relaxed geometry, as listed in the Alexandria database.

Summary:
Formation energy (no corrections) (eV/atom): -0.82

abc: 8.0324 8.0324 10.2346
angles: 90.00 90.00 155.22
Closest atoms and distances in Å follow each position.
Fractional positions:
La  0.1064  0.8936  0.5000  7 N 2.52-2.79
La  0.1158  0.8842  0.1330  6 N 2.46-2.70
La  0.8842  0.1158  0.6330  6 N 2.46-2.70
La  0.8936  0.1064  0.0000  7 N 2.52-2.79
Ce  0.2115  0.7885  0.8357  5 N 2.25-2.36
Ce  0.7885  0.2115  0.3357  5 N 2.25-2.36
Ge  0.4517  0.5483  0.2714  4 N 1.86-1.97
Ge  0.5483  0.4517  0.7714  4 N 1.86-1.97
N  0.0403  0.9597  0.8640  2 Ge 1.97
N  0.2935  0.7065  0.4858  2 Ce 2.31
N  0.3377  0.6623  0.1969  1 Ge 1.94
N  0.3547  0.6453  0.8299  1 Ce 2.25
N  0.4947  0.5053  0.6096  1 Ge 1.86
N  0.5053  0.4947  0.1096  1 Ge 1.86
N  0.6453  0.3547  0.3299  1 Ce 2.25
N  0.6623  0.3377  0.6969  1 Ge 1.94
N  0.7065  0.2935  0.9858  2 Ce 2.31
N  0.9597  0.0403  0.3640  2 Ge 1.97